[1]
Entry from the Alexandria database: HoMg3Hg2 after structural relaxation (PBE).

Output
formation energy from the elements	-0.2882	eV per atom
calculated total energy	-1.949	eV/atom
SG	Pmc2_1 (26)
excess energy over the best structure of this formula in the dataset	0	meV per atom
D(E_F)	0.57	states/eV/atom

Geometry as POSCAR:
```
HoMg3Hg2
1.0
4.262 0.000 0.000
0.000 7.599 0.000
0.000 0.000 8.718
Hg Mg Ho
4 6 2
Direct
0.000 0.742 0.379
0.000 0.242 0.621
0.500 0.259 0.113
0.500 0.759 0.887
0.000 0.466 0.913
0.000 0.363 0.307
0.500 0.138 0.813
0.000 0.966 0.087
0.500 0.638 0.187
0.000 0.863 0.693
0.500 0.531 0.579
0.500 0.031 0.421
```

***

[2]
Entry from the Alexandria database: Ho2Mg3Hg4 after structural relaxation (PBE).

Output
formation energy from the elements	-0.3544	eV per atom
calculated total energy	-2.037	eV/atom
SG	C2/m (12)
excess energy over the best structure of this formula in the dataset	0	meV per atom
D(E_F)	0.48	states/eV/atom

Geometry as POSCAR:
```
Ho2Mg3Hg4
1.0
5.005 0.001 0.001
2.502 4.342 0.177
-0.002 -0.334 9.623
Hg Mg Ho
4 3 2
Direct
0.998 0.003 0.659
0.002 0.997 0.341
0.666 0.667 0.895
0.334 0.333 0.105
0.000 0.000 0.000
0.334 0.332 0.428
0.666 0.668 0.572
0.333 0.335 0.787
0.667 0.665 0.213
```